Record 1
{
  "formula": "EuMgGa3",
  "functional": "meta-GGA SCAN",
  "state": "single point on PBEsol structure",
  "cell": [[-2.0902, -2.3622, 2.8620], [-2.4965, -1.5353, -3.0904], [5.9281, -2.2798, -0.7214]],
  "species": ["Eu", "Mg", "Ga", "Ga", "Ga"],
  "fractional_positions": [[0.0000, 0.0000, 0.0000], [0.7500, 0.2500, 0.5000], [0.6087, 0.6087, 0.2174], [0.3913, 0.3913, 0.7826], [0.2500, 0.7500, 0.5000]],
  "energy_ev_per_atom": -22.0582,
  "n_ef_per_ev_atom": 1.38,
  "formation_enthalpy_0k_ev_per_atom": -0.513
}


Record 2
{
  "formula": "Rb5NdHfMo6O24",
  "functional": "meta-GGA SCAN",
  "state": "single point on PBEsol structure",
  "cell": [[-3.0301, -5.3473, -8.9576], [7.2526, -2.0296, -7.8291], [4.4028, -13.6753, 0.0868]],
  "species": ["Rb", "Rb", "Rb", "Rb", "Rb", "Rb", "Rb", "Rb", "Rb", "Rb", "Nd", "Nd", "Hf", "Hf", "Mo", "Mo", "Mo", "Mo", "Mo", "Mo", "Mo", "Mo", "Mo", "Mo", "Mo", "Mo", "O", "O", "O", "O", "O", "O", "O", "O", "O", "O", "O", "O", "O", "O", "O", "O", "O", "O", "O", "O", "O", "O", "O", "O", "O", "O", "O", "O", "O", "O", "O", "O", "O", "O", "O", "O", "O", "O", "O", "O", "O", "O", "O", "O", "O", "O", "O", "O"],
  "fractional_positions": [[0.3533, 0.3533, 0.9401], [0.8583, 0.6417, 0.2500], [0.6417, 0.2500, 0.2500], [0.2500, 0.8583, 0.2500], [0.1467, 0.1467, 0.5599], [0.8533, 0.8533, 0.4401], [0.7500, 0.1417, 0.7500], [0.3583, 0.7500, 0.7500], [0.1417, 0.3583, 0.7500], [0.6467, 0.6467, 0.0599], [0.0000, 0.0000, 0.0000], [0.5000, 0.5000, 0.5000], [0.7500, 0.7500, 0.7500], [0.2500, 0.2500, 0.2500], [0.1091, 0.7610, 0.6020], [0.7610, 0.5280, 0.6020], [0.5280, 0.1091, 0.6020], [0.7390, 0.3909, 0.8980], [0.3909, 0.9720, 0.8980], [0.0280, 0.2610, 0.1020], [0.9720, 0.7390, 0.8980], [0.6091, 0.0280, 0.1020], [0.2610, 0.6091, 0.1020], [0.4720, 0.8909, 0.3980], [0.2390, 0.4720, 0.3980], [0.8909, 0.2390, 0.3980], [0.1155, 0.8386, 0.4717], [0.8386, 0.5742, 0.4717], [0.0861, 0.8867, 0.6609], [0.2784, 0.6061, 0.6129], [0.9581, 0.7045, 0.6572], [0.7045, 0.6801, 0.6572], [0.6061, 0.5026, 0.6129], [0.5742, 0.1155, 0.4717], [0.5026, 0.2784, 0.6129], [0.8867, 0.3662, 0.6609], [0.3662, 0.0861, 0.6609], [0.6801, 0.9581, 0.6572], [0.7955, 0.5419, 0.8428], [0.6133, 0.4139, 0.8391], [0.4139, 0.1338, 0.8391], [0.8939, 0.2216, 0.8871], [0.0742, 0.3386, 0.9717], [0.6614, 0.3845, 0.0283], [0.2216, 0.9974, 0.8871], [0.5419, 0.8199, 0.8428], [0.8199, 0.7955, 0.8428], [0.9974, 0.8939, 0.8871], [0.6155, 0.0742, 0.9717], [0.1338, 0.6133, 0.8391], [0.8662, 0.3867, 0.1609], [0.3845, 0.9258, 0.0283], [0.0026, 0.1061, 0.1129], [0.1801, 0.2045, 0.1572], [0.4581, 0.1801, 0.1572], [0.7784, 0.0026, 0.1129], [0.3386, 0.6155, 0.9717], [0.9258, 0.6614, 0.0283], [0.1061, 0.7784, 0.1129], [0.5861, 0.8662, 0.1609], [0.3867, 0.5861, 0.1609], [0.2045, 0.4581, 0.1572], [0.3199, 0.0419, 0.3428], [0.6338, 0.9139, 0.3391], [0.1133, 0.6338, 0.3391], [0.4974, 0.7216, 0.3871], [0.4258, 0.8845, 0.5283], [0.3939, 0.4974, 0.3871], [0.2955, 0.3199, 0.3428], [0.0419, 0.2955, 0.3428], [0.7216, 0.3939, 0.3871], [0.9139, 0.1133, 0.3391], [0.1614, 0.4258, 0.5283], [0.8845, 0.1614, 0.5283]],
  "energy_ev_per_atom": -17.8766,
  "n_ef_per_ev_atom": 0.00,
  "formation_energy_uncorrected_ev_per_fu": -92.62
}


Record 3
{
  "formula": "CaSnPt",
  "functional": "meta-GGA SCAN",
  "state": "single point on PBEsol structure",
  "cell": [[-3.8128, -1.6132, 1.9422], [3.8598, -2.2400, 5.7166], [-1.1584, 6.9653, 3.5114]],
  "species": ["Ca", "Ca", "Ca", "Ca", "Sn", "Sn", "Sn", "Sn", "Pt", "Pt", "Pt", "Pt"],
  "fractional_positions": [[0.7500, 0.9817, 0.6872], [0.7500, 0.4817, 0.8128], [0.2500, 0.0183, 0.3128], [0.2500, 0.5183, 0.1872], [0.2500, 0.6682, 0.5747], [0.7500, 0.8318, 0.0747], [0.2500, 0.1682, 0.9253], [0.7500, 0.3318, 0.4253], [0.2500, 0.7888, 0.8957], [0.2500, 0.2888, 0.6043], [0.7500, 0.2112, 0.1043], [0.7500, 0.7112, 0.3957]],
  "energy_ev_per_atom": -39.6778,
  "n_ef_per_ev_atom": 0.41,
  "formation_enthalpy_0k_ev_per_atom": -1.085
}


Record 4
{
  "formula": "Rb2BH",
  "functional": "meta-GGA SCAN",
  "state": "single point on PBEsol structure",
  "cell": [[5.3261, 0.0000, 0.0000], [2.6630, 4.6125, 0.0000], [2.6630, 1.5375, 4.3487]],
  "species": ["H", "B", "Rb", "Rb"],
  "fractional_positions": [[0.0000, 0.0000, 0.0000], [0.5000, 0.5000, 0.5000], [0.2500, 0.2500, 0.2500], [0.7500, 0.7500, 0.7500]],
  "energy_ev_per_atom": -12.1100,
  "polymorph_energy_ev_per_fu": 0.04,
  "n_ef_per_ev_atom": 1.01
}


Record 5
{
  "formula": "BaTl2Hg",
  "functional": "meta-GGA SCAN",
  "state": "single point on PBEsol structure",
  "cell": [[-1.4295, 2.8673, 3.6737], [-4.5041, 0.1360, -1.8588], [-1.2601, -4.1512, 2.7496]],
  "species": ["Tl", "Tl", "Hg", "Ba"],
  "fractional_positions": [[0.0000, 0.5000, 0.0000], [0.5000, 0.0000, 0.0000], [0.0000, 0.0000, 0.5000], [0.5000, 0.5000, 0.5000]],
  "energy_ev_per_atom": -63.4647,
  "polymorph_energy_ev_per_fu": 0.32,
  "n_ef_per_ev_atom": 0.78,
  "formation_enthalpy_0k_ev_per_atom": -0.356
}


Record 6
{
  "formula": "Na2ZnS2",
  "functional": "meta-GGA SCAN",
  "state": "single point on PBEsol structure",
  "cell": [[-6.2999, -0.9715, -2.2660], [0.9389, -6.8032, 0.3066], [-6.2705, -0.0781, 17.4666]],
  "species": ["Na", "Na", "Na", "Na", "Na", "Na", "Na", "Na", "Na", "Na", "Na", "Na", "Na", "Na", "Na", "Na", "Zn", "Zn", "Zn", "Zn", "Zn", "Zn", "Zn", "Zn", "S", "S", "S", "S", "S", "S", "S", "S", "S", "S", "S", "S", "S", "S", "S", "S"],
  "fractional_positions": [[0.0096, 0.3194, 0.0724], [0.9904, 0.1806, 0.5724], [0.4904, 0.8194, 0.9276], [0.5096, 0.6806, 0.4276], [0.9904, 0.6806, 0.9276], [0.0096, 0.8194, 0.4276], [0.5096, 0.1806, 0.0724], [0.4904, 0.3194, 0.5724], [0.3231, 0.4606, 0.1996], [0.6769, 0.0394, 0.6996], [0.1769, 0.9606, 0.8004], [0.8231, 0.5394, 0.3004], [0.6769, 0.5394, 0.8004], [0.3231, 0.9606, 0.3004], [0.8231, 0.0394, 0.1996], [0.1769, 0.4606, 0.6996], [0.8575, 0.1061, 0.9318], [0.1425, 0.3939, 0.4318], [0.6425, 0.6061, 0.0682], [0.3575, 0.8939, 0.5682], [0.1425, 0.8939, 0.0682], [0.8575, 0.6061, 0.5682], [0.3575, 0.3939, 0.9318], [0.6425, 0.1061, 0.4318], [0.7964, 0.8998, 0.0439], [0.2036, 0.6002, 0.5439], [0.7036, 0.3998, 0.9561], [0.2964, 0.1003, 0.4561], [0.2036, 0.1003, 0.9561], [0.7964, 0.3998, 0.4561], [0.2964, 0.6002, 0.0439], [0.7036, 0.8998, 0.5439], [0.7213, 0.4303, 0.1658], [0.2787, 0.0697, 0.6658], [0.7787, 0.9303, 0.8342], [0.2213, 0.5697, 0.3342], [0.2787, 0.5697, 0.8342], [0.7213, 0.9303, 0.3342], [0.2213, 0.0697, 0.1658], [0.7787, 0.4303, 0.6658]],
  "energy_ev_per_atom": -9.3613,
  "n_ef_per_ev_atom": 0.00,
  "formation_energy_uncorrected_ev_per_fu": -5.61
}


Record 7
{
  "formula": "P2PtNCl",
  "functional": "meta-GGA SCAN",
  "state": "single point on PBEsol structure",
  "cell": [[3.9067, 0.0000, 0.0000], [0.0000, 4.1516, 0.0000], [0.0000, 0.0000, 4.1516]],
  "species": ["P", "P", "N", "Pt", "Cl"],
  "fractional_positions": [[0.0000, 0.0000, 0.5000], [0.0000, 0.5000, 0.0000], [0.0000, 0.0000, 0.0000], [0.5000, 0.5000, 0.5000], [0.5000, 0.0000, 0.0000]],
  "energy_ev_per_atom": -20.4040,
  "n_ef_per_ev_atom": 0.56,
  "formation_energy_uncorrected_ev_per_fu": 6.24
}


Record 8
{
  "formula": "RbPt2Br",
  "functional": "meta-GGA SCAN",
  "state": "single point on PBEsol structure",
  "cell": [[-0.9281, -0.8130, 4.7339], [-2.7333, -3.8317, 1.3338], [2.0663, -3.8033, 2.2797]],
  "species": ["Br", "Rb", "Pt", "Pt"],
  "fractional_positions": [[0.0000, 0.0000, 0.0000], [0.5000, 0.5000, 0.5000], [0.2500, 0.2500, 0.2500], [0.7500, 0.7500, 0.7500]],
  "energy_ev_per_atom": -44.1018,
  "n_ef_per_ev_atom": 1.37,
  "formation_energy_uncorrected_ev_per_fu": 4.18
}


Record 9
{
  "formula": "BaWAu2",
  "functional": "meta-GGA SCAN",
  "state": "single point on PBEsol structure",
  "cell": [[2.9554, 0.0000, 0.1902], [0.0000, 4.6127, 0.0000], [-0.3889, 0.0000, 6.6208]],
  "species": ["Au", "Au", "Ba", "W"],
  "fractional_positions": [[0.8751, 0.0000, 0.9373], [0.8745, 0.5000, 0.2145], [0.3709, 0.0000, 0.4782], [0.3795, 0.5000, 0.8701]],
  "energy_ev_per_atom": -61.4427,
  "polymorph_energy_ev_per_fu": 0.00,
  "n_ef_per_ev_atom": 0.79,
  "formation_enthalpy_0k_ev_per_atom": 0.445
}


Record 10
{
  "formula": "Sr2HgAs",
  "functional": "meta-GGA SCAN",
  "state": "single point on PBEsol structure",
  "cell": [[-2.8664, -2.5116, 2.3001], [3.4965, -2.2873, 1.8597], [1.6018, 5.0761, 3.2317]],
  "species": ["Sr", "Sr", "As", "Hg"],
  "fractional_positions": [[0.9893, 0.5000, 0.9787], [0.2612, 0.0000, 0.5224], [0.5418, 0.0000, 0.0836], [0.7077, 0.5000, 0.4153]],
  "energy_ev_per_atom": -34.2287,
  "polymorph_energy_ev_per_fu": 0.00,
  "n_ef_per_ev_atom": 0.27,
  "formation_enthalpy_0k_ev_per_atom": -1.002
}